[1]
# Ni5Ir2Rh5 | Alexandria | PBE | optimized geometry
# E ... -6.920 eV/atom
data_Ni5Ir2Rh5
_chemical_formula_sum 'Ni10 Ir4 Rh10'
_cell_length_a 11.3702
_cell_length_b 3.6747
_cell_length_c 8.4093
_cell_angle_alpha 90.00
_cell_angle_beta 117.57
_cell_angle_gamma 90.00
_space_group_name_H-M_alt 'C 1 2/m 1'
_space_group_IT_number 12
_space_group_name_Hall '-C 2y'
loop_
_atom_site_label
_atom_site_fract_x
_atom_site_fract_y
_atom_site_fract_z
_atom_site_occupancy
Ni1 0.0000 0.0000 0.0000 1
Ni2 0.0792 0.0000 0.7477 1
Ni3 0.1661 0.0000 0.4988 1
Ir1 0.0832 0.5000 0.2516 1
Rh1 0.0000 0.5000 0.5000 1
Rh2 0.1638 0.5000 0.9950 1
Rh3 0.2504 0.0000 0.2561 1



[2]
# Ni3Ir2Rh3 | Alexandria | PBE | optimized geometry
# E ... -7.107 eV/atom
data_Ni3Ir2Rh3
_chemical_formula_sum 'Ni6 Ir4 Rh6'
_cell_length_a 5.2994
_cell_length_b 10.5559
_cell_length_c 4.5839
_cell_angle_alpha 90.00
_cell_angle_beta 124.56
_cell_angle_gamma 90.00
_space_group_name_H-M_alt 'C 1 2/m 1'
_space_group_IT_number 12
_space_group_name_Hall '-C 2y'
loop_
_atom_site_label
_atom_site_fract_x
_atom_site_fract_y
_atom_site_fract_z
_atom_site_occupancy
Ni1 0.0000 0.0000 0.0000 1
Ni2 0.0000 0.3752 0.5000 1
Ir1 0.0000 0.2482 0.0000 1
Rh1 0.0000 0.1263 0.5000 1
Rh2 0.0000 0.5000 0.0000 1



[3]
# Ni6Ir2Rh | Alexandria | PBE | optimized geometry
# E ... -6.447 eV/atom
data_Ni6Ir2Rh
_chemical_formula_sum 'Ni12 Ir4 Rh2'
_cell_length_a 7.3918
_cell_length_b 5.2105
_cell_length_c 6.2956
_cell_angle_alpha 90.00
_cell_angle_beta 110.81
_cell_angle_gamma 90.00
_space_group_name_H-M_alt 'C 1 2/m 1'
_space_group_IT_number 12
_space_group_name_Hall '-C 2y'
loop_
_atom_site_label
_atom_site_fract_x
_atom_site_fract_y
_atom_site_fract_z
_atom_site_occupancy
Ni1 0.0652 0.2272 0.2086 1
Ni2 0.1667 0.0000 0.5833 1
Ir1 0.2282 0.5000 0.9741 1
Rh1 0.0000 0.5000 0.5000 1



[4]
# NiIr3Rh12 | Alexandria | PBE | optimized geometry
# E ... -7.530 eV/atom
data_NiIr3Rh12
_chemical_formula_sum 'Ni1 Ir3 Rh12'
_cell_length_a 3.8416
_cell_length_b 3.8416
_cell_length_c 15.3168
_cell_angle_alpha 90.00
_cell_angle_beta 90.00
_cell_angle_gamma 90.00
_space_group_name_H-M_alt 'P 4/m m m'
_space_group_IT_number 123
_space_group_name_Hall '-P 4 2'
loop_
_atom_site_label
_atom_site_fract_x
_atom_site_fract_y
_atom_site_fract_z
_atom_site_occupancy
Ni1 0.0000 0.0000 0.0000 1
Ir1 0.0000 0.0000 0.2469 1
Ir2 0.0000 0.0000 0.5000 1
Rh1 0.0000 0.5000 0.1229 1
Rh2 0.0000 0.5000 0.3738 1
Rh3 0.5000 0.5000 0.0000 1
Rh4 0.5000 0.5000 0.2488 1
Rh5 0.5000 0.5000 0.5000 1



[5]
# Ni2IrRh8 | Alexandria | PBE | optimized geometry
# E ... -6.979 eV/atom
data_Ni2IrRh8
_chemical_formula_sum 'Ni4 Ir2 Rh16'
_cell_length_a 7.8354
_cell_length_b 10.1455
_cell_length_c 3.9741
_cell_angle_alpha 90.00
_cell_angle_beta 90.00
_cell_angle_gamma 90.00
_space_group_name_H-M_alt 'C m m m'
_space_group_IT_number 65
_space_group_name_Hall '-C 2 2'
loop_
_atom_site_label
_atom_site_fract_x
_atom_site_fract_y
_atom_site_fract_z
_atom_site_occupancy
Ni1 0.0000 0.1138 0.0000 1
Ir1 0.0000 0.5000 0.5000 1
Rh1 0.0000 0.2430 0.5000 1
Rh2 0.1633 0.0000 0.5000 1
Rh3 0.1699 0.3681 0.0000 1



[6]
# NiIr2Rh4 | Alexandria | PBE | optimized geometry
# E ... -7.195 eV/atom
data_NiIr2Rh4
_chemical_formula_sum 'Ni4 Ir8 Rh16'
_cell_length_a 4.3909
_cell_length_b 7.2288
_cell_length_c 13.0932
_cell_angle_alpha 90.00
_cell_angle_beta 90.00
_cell_angle_gamma 90.00
_space_group_name_H-M_alt 'C m c m'
_space_group_IT_number 63
_space_group_name_Hall '-C 2c 2'
loop_
_atom_site_label
_atom_site_fract_x
_atom_site_fract_y
_atom_site_fract_z
_atom_site_occupancy
Ni1 0.0000 0.0256 0.2500 1
Ir1 0.0000 0.3423 0.0521 1
Rh1 0.0000 0.0000 0.0000 1
Rh2 0.0000 0.3043 0.6498 1
Rh3 0.0000 0.3663 0.2500 1



[7]
# NiIr4Rh3 | Alexandria | PBE | optimized geometry
# E ... -7.632 eV/atom
data_NiIr4Rh3
_chemical_formula_sum 'Ni2 Ir8 Rh6'
_cell_length_a 2.6686
_cell_length_b 5.2102
_cell_length_c 16.9507
_cell_angle_alpha 90.00
_cell_angle_beta 90.00
_cell_angle_gamma 90.00
_space_group_name_H-M_alt 'I m m m'
_space_group_IT_number 71
_space_group_name_Hall '-I 2 2'
loop_
_atom_site_label
_atom_site_fract_x
_atom_site_fract_y
_atom_site_fract_z
_atom_site_occupancy
Ni1 0.0000 0.0000 0.0000 1
Ir1 0.0000 0.2564 0.1232 1
Rh1 0.0000 0.0000 0.5000 1
Rh2 0.0000 0.5000 0.2662 1



[8]
# NiIrRuRh | Alexandria | PBE | optimized geometry
# E ... -7.490 eV/atom
data_NiIrRuRh
_chemical_formula_sum 'Ni4 Ir4 Ru4 Rh4'
_cell_length_a 6.0619
_cell_length_b 6.0619
_cell_length_c 6.0619
_cell_angle_alpha 90.00
_cell_angle_beta 90.00
_cell_angle_gamma 90.00
_space_group_name_H-M_alt 'F -4 3 m'
_space_group_IT_number 216
_space_group_name_Hall 'F -4 2 3'
loop_
_atom_site_label
_atom_site_fract_x
_atom_site_fract_y
_atom_site_fract_z
_atom_site_occupancy
Ni1 0.0000 0.0000 0.0000 1
Ir1 0.2500 0.2500 0.7500 1
Ru1 0.0000 0.0000 0.5000 1
Rh1 0.2500 0.2500 0.2500 1



[9]
# NiIr2RuRh2 | Alexandria | PBE | optimized geometry
# E ... -7.669 eV/atom
data_NiIr2RuRh2
_chemical_formula_sum 'Ni2 Ir4 Ru2 Rh4'
_cell_length_a 5.0310
_cell_length_b 5.3066
_cell_length_c 6.4863
_cell_angle_alpha 90.00
_cell_angle_beta 97.59
_cell_angle_gamma 90.00
_space_group_name_H-M_alt 'P 1 21/m 1'
_space_group_IT_number 11
_space_group_name_Hall '-P 2yb'
loop_
_atom_site_label
_atom_site_fract_x
_atom_site_fract_y
_atom_site_fract_z
_atom_site_occupancy
Ni1 0.2043 0.2500 0.1460 1
Ir1 0.0045 0.2500 0.4953 1
Ir2 0.4973 0.7500 0.5049 1
Ru1 0.1987 0.7500 0.1506 1
Rh1 0.3004 0.0001 0.8180 1



[10]
# NiIr2Ru4Rh | Alexandria | PBE | optimized geometry
# E ... -7.469 eV/atom
data_NiIr2Ru4Rh
_chemical_formula_sum 'Ni1 Ir2 Ru4 Rh1'
_cell_length_a 6.0810
_cell_length_b 3.5116
_cell_length_c 6.3428
_cell_angle_alpha 90.00
_cell_angle_beta 108.78
_cell_angle_gamma 90.00
_space_group_name_H-M_alt 'P 1 2/m 1'
_space_group_IT_number 10
_space_group_name_Hall '-P 2y'
loop_
_atom_site_label
_atom_site_fract_x
_atom_site_fract_y
_atom_site_fract_z
_atom_site_occupancy
Ni1 0.0000 0.0000 0.0000 1
Ir1 0.0000 0.5000 0.5000 1
Ir2 0.5000 0.0000 0.5000 1
Ru1 0.2420 0.0000 0.7479 1
Ru2 0.2462 0.5000 0.2529 1
Rh1 0.5000 0.5000 0.0000 1



[11]
# NiIrRuRh | Alexandria | PBE | optimized geometry
# E ... -7.794 eV/atom
data_NiIrRuRh
_chemical_formula_sum 'Ni2 Ir2 Ru2 Rh2'
_cell_length_a 4.6867
_cell_length_b 2.7033
_cell_length_c 8.7040
_cell_angle_alpha 90.00
_cell_angle_beta 100.32
_cell_angle_gamma 90.00
_space_group_name_H-M_alt 'C 1 m 1'
_space_group_IT_number 8
_space_group_name_Hall 'C -2y'
loop_
_atom_site_label
_atom_site_fract_x
_atom_site_fract_y
_atom_site_fract_z
_atom_site_occupancy
Ni1 0.0000 0.0000 0.0000 1
Ir1 0.0854 0.5000 0.7574 1
Ru1 0.3331 0.5000 0.5037 1
Rh1 0.4143 0.0000 0.2477 1



[12]
# NiSbIrRh | Alexandria | PBE | optimized geometry
# Energy relative to the elements, uncorrected ... -0.054 eV per atom
# E ... -6.583 eV/atom
data_NiSbIrRh
_chemical_formula_sum 'Ni4 Sb4 Ir4 Rh4'
_cell_length_a 6.2132
_cell_length_b 6.2132
_cell_length_c 6.2132
_cell_angle_alpha 90.00
_cell_angle_beta 90.00
_cell_angle_gamma 90.00
_space_group_name_H-M_alt 'F -4 3 m'
_space_group_IT_number 216
_space_group_name_Hall 'F -4 2 3'
loop_
_atom_site_label
_atom_site_fract_x
_atom_site_fract_y
_atom_site_fract_z
_atom_site_occupancy
Ni1 0.0000 0.0000 0.0000 1
Sb1 0.0000 0.0000 0.5000 1
Ir1 0.2500 0.2500 0.2500 1
Rh1 0.2500 0.2500 0.7500 1



[13]
# Ni2IrRhSe8 | Alexandria | PBE | optimized geometry
# Energy relative to the elements, uncorrected ... 0.147 eV per atom
# E ... -4.490 eV/atom
data_Ni2IrRhSe8
_chemical_formula_sum 'Ni4 Ir2 Rh2 Se16'
_cell_length_a 8.0677
_cell_length_b 8.0677
_cell_length_c 8.1088
_cell_angle_alpha 90.00
_cell_angle_beta 90.00
_cell_angle_gamma 90.00
_space_group_name_H-M_alt 'I -4 m 2'
_space_group_IT_number 119
_space_group_name_Hall 'I -4 -2'
loop_
_atom_site_label
_atom_site_fract_x
_atom_site_fract_y
_atom_site_fract_z
_atom_site_occupancy
Ni1 0.0000 0.0000 0.0000 1
Ni2 0.0000 0.5000 0.2500 1
Ir1 0.0000 0.0000 0.5000 1
Rh1 0.0000 0.5000 0.7500 1
Se1 0.0000 0.1739 0.7801 1
Se2 0.0000 0.3243 0.4695 1



[14]
# SiNiIrRh | Alexandria | PBE | optimized geometry
# Energy relative to the elements, uncorrected ... -0.386 eV per atom
# E ... -7.240 eV/atom
data_SiNiIrRh
_chemical_formula_sum 'Si4 Ni4 Ir4 Rh4'
_cell_length_a 5.9011
_cell_length_b 5.9011
_cell_length_c 5.9011
_cell_angle_alpha 90.00
_cell_angle_beta 90.00
_cell_angle_gamma 90.00
_space_group_name_H-M_alt 'F -4 3 m'
_space_group_IT_number 216
_space_group_name_Hall 'F -4 2 3'
loop_
_atom_site_label
_atom_site_fract_x
_atom_site_fract_y
_atom_site_fract_z
_atom_site_occupancy
Si1 0.0000 0.0000 0.0000 1
Ni1 0.0000 0.0000 0.5000 1
Ir1 0.2500 0.2500 0.7500 1
Rh1 0.2500 0.2500 0.2500 1



[15]
# Tc2NiIr2Rh2 | Alexandria | PBE | optimized geometry
# E ... -8.330 eV/atom
data_Tc2NiIr2Rh2
_chemical_formula_sum 'Tc4 Ni2 Ir4 Rh4'
_cell_length_a 10.3126
_cell_length_b 4.3474
_cell_length_c 4.6848
_cell_angle_alpha 90.00
_cell_angle_beta 104.13
_cell_angle_gamma 90.00
_space_group_name_H-M_alt 'C 1 2/m 1'
_space_group_IT_number 12
_space_group_name_Hall '-C 2y'
loop_
_atom_site_label
_atom_site_fract_x
_atom_site_fract_y
_atom_site_fract_z
_atom_site_occupancy
Tc1 0.2459 0.0000 0.3323 1
Ni1 0.0000 0.5000 0.5000 1
Ir1 0.1253 0.5000 0.1006 1
Rh1 0.0972 0.0000 0.7489 1



[16]
# TcNiIrRh3 | Alexandria | PBE | optimized geometry
# E ... -7.886 eV/atom
data_TcNiIrRh3
_chemical_formula_sum 'Tc4 Ni4 Ir4 Rh12'
_cell_length_a 2.7231
_cell_length_b 13.9042
_cell_length_c 8.7792
_cell_angle_alpha 90.00
_cell_angle_beta 90.00
_cell_angle_gamma 90.00
_space_group_name_H-M_alt 'C m c m'
_space_group_IT_number 63
_space_group_name_Hall '-C 2c 2'
loop_
_atom_site_label
_atom_site_fract_x
_atom_site_fract_y
_atom_site_fract_z
_atom_site_occupancy
Tc1 0.0000 0.0000 0.0000 1
Ni1 0.0000 0.2197 0.2500 1
Ir1 0.0000 0.4437 0.7500 1
Rh1 0.0000 0.1156 0.7500 1
Rh2 0.0000 0.3341 0.5017 1



[17]
# TiNiIrRh | Alexandria | PBE | optimized geometry
# E ... -7.890 eV/atom
data_TiNiIrRh
_chemical_formula_sum 'Ti4 Ni4 Ir4 Rh4'
_cell_length_a 6.0563
_cell_length_b 6.0563
_cell_length_c 6.0563
_cell_angle_alpha 90.00
_cell_angle_beta 90.00
_cell_angle_gamma 90.00
_space_group_name_H-M_alt 'F -4 3 m'
_space_group_IT_number 216
_space_group_name_Hall 'F -4 2 3'
loop_
_atom_site_label
_atom_site_fract_x
_atom_site_fract_y
_atom_site_fract_z
_atom_site_occupancy
Ti1 0.0000 0.0000 0.0000 1
Ni1 0.0000 0.0000 0.5000 1
Ir1 0.2500 0.2500 0.7500 1
Rh1 0.2500 0.2500 0.2500 1



[18]
# VNiIrRh | Alexandria | PBE | optimized geometry
# E ... -8.129 eV/atom
data_VNiIrRh
_chemical_formula_sum 'V1 Ni1 Ir1 Rh1'
_cell_length_a 3.5957
_cell_length_b 3.8183
_cell_length_c 3.8348
_cell_angle_alpha 90.00
_cell_angle_beta 90.00
_cell_angle_gamma 90.00
_space_group_name_H-M_alt 'P m m m'
_space_group_IT_number 47
_space_group_name_Hall '-P 2 2'
loop_
_atom_site_label
_atom_site_fract_x
_atom_site_fract_y
_atom_site_fract_z
_atom_site_occupancy
V1 0.0000 0.0000 0.0000 1
Ni1 0.0000 0.5000 0.5000 1
Ir1 0.5000 0.5000 0.0000 1
Rh1 0.5000 0.0000 0.5000 1



[19]
# VNiIrRh | Alexandria | PBE | optimized geometry
# E ... -8.001 eV/atom
data_VNiIrRh
_chemical_formula_sum 'V4 Ni4 Ir4 Rh4'
_cell_length_a 5.9654
_cell_length_b 5.9654
_cell_length_c 5.9654
_cell_angle_alpha 90.00
_cell_angle_beta 90.00
_cell_angle_gamma 90.00
_space_group_name_H-M_alt 'F -4 3 m'
_space_group_IT_number 216
_space_group_name_Hall 'F -4 2 3'
loop_
_atom_site_label
_atom_site_fract_x
_atom_site_fract_y
_atom_site_fract_z
_atom_site_occupancy
V1 0.0000 0.0000 0.0000 1
Ni1 0.0000 0.0000 0.5000 1
Ir1 0.2500 0.2500 0.2500 1
Rh1 0.2500 0.2500 0.7500 1



[20]
# VNiIr2Rh2 | Alexandria | PBE | optimized geometry
# E ... -7.919 eV/atom
data_VNiIr2Rh2
_chemical_formula_sum 'V2 Ni2 Ir4 Rh4'
_cell_length_a 4.8605
_cell_length_b 5.2731
_cell_length_c 6.5952
_cell_angle_alpha 90.00
_cell_angle_beta 97.06
_cell_angle_gamma 90.00
_space_group_name_H-M_alt 'P 1 21/m 1'
_space_group_IT_number 11
_space_group_name_Hall '-P 2yb'
loop_
_atom_site_label
_atom_site_fract_x
_atom_site_fract_y
_atom_site_fract_z
_atom_site_occupancy
V1 0.0335 0.2500 0.0027 1
Ni1 0.2785 0.7500 0.3503 1
Ir1 0.3040 0.2500 0.3360 1
Ir2 0.4574 0.7500 0.0160 1
Rh1 0.2016 0.0023 0.6844 1



[21]
# NiIrRh2W | Alexandria | PBE | optimized geometry
# E ... -6.901 eV/atom
data_NiIrRh2W
_chemical_formula_sum 'Ni1 Ir1 Rh2 W1'
_cell_length_a 4.6672
_cell_length_b 4.6672
_cell_length_c 4.7291
_cell_angle_alpha 90.00
_cell_angle_beta 90.00
_cell_angle_gamma 90.00
_space_group_name_H-M_alt 'P 4/m m m'
_space_group_IT_number 123
_space_group_name_Hall '-P 4 2'
loop_
_atom_site_label
_atom_site_fract_x
_atom_site_fract_y
_atom_site_fract_z
_atom_site_occupancy
Ni1 0.0000 0.0000 0.0000 1
Ir1 0.5000 0.5000 0.0000 1
Rh1 0.0000 0.5000 0.5000 1
W1 0.5000 0.5000 0.5000 1



[22]
# ZnNi2IrRh | Alexandria | PBE | optimized geometry
# E ... -4.584 eV/atom
data_ZnNi2IrRh
_chemical_formula_sum 'Zn1 Ni2 Ir1 Rh1'
_cell_length_a 4.4801
_cell_length_b 4.4801
_cell_length_c 4.6533
_cell_angle_alpha 90.00
_cell_angle_beta 90.00
_cell_angle_gamma 90.00
_space_group_name_H-M_alt 'P 4/m m m'
_space_group_IT_number 123
_space_group_name_Hall '-P 4 2'
loop_
_atom_site_label
_atom_site_fract_x
_atom_site_fract_y
_atom_site_fract_z
_atom_site_occupancy
Zn1 0.0000 0.0000 0.0000 1
Ni1 0.0000 0.5000 0.5000 1
Ir1 0.0000 0.0000 0.5000 1
Rh1 0.5000 0.5000 0.0000 1



[23]
# ZnNi2Ir2Rh2 | Alexandria | PBE | optimized geometry
# E ... -6.257 eV/atom
data_ZnNi2Ir2Rh2
_chemical_formula_sum 'Zn2 Ni4 Ir4 Rh4'
_cell_length_a 17.1239
_cell_length_b 2.6502
_cell_length_c 4.4507
_cell_angle_alpha 90.00
_cell_angle_beta 98.70
_cell_angle_gamma 90.00
_space_group_name_H-M_alt 'C 1 2/m 1'
_space_group_IT_number 12
_space_group_name_Hall '-C 2y'
loop_
_atom_site_label
_atom_site_fract_x
_atom_site_fract_y
_atom_site_fract_z
_atom_site_occupancy
Zn1 0.0000 0.0000 0.0000 1
Ni1 0.2023 0.5000 0.6323 1
Ir1 0.0759 0.0000 0.5451 1
Rh1 0.1584 0.0000 0.0960 1



[24]
# Ni3IrRu | Alexandria | PBE | optimized geometry
# E ... -5.477 eV/atom
data_Ni3IrRu
_chemical_formula_sum 'Ni3 Ir1 Ru1'
_cell_length_a 4.4721
_cell_length_b 4.4721
_cell_length_c 4.4721
_cell_angle_alpha 90.00
_cell_angle_beta 90.00
_cell_angle_gamma 90.00
_space_group_name_H-M_alt 'P m -3 m'
_space_group_IT_number 221
_space_group_name_Hall '-P 4 2 3'
loop_
_atom_site_label
_atom_site_fract_x
_atom_site_fract_y
_atom_site_fract_z
_atom_site_occupancy
Ni1 0.0000 0.0000 0.5000 1
Ir1 0.0000 0.0000 0.0000 1
Ru1 0.5000 0.5000 0.5000 1



Number 1: V 12.98 A^3/atom. Number 2: V 13.20 A^3/atom. Number 3: V 12.59 A^3/atom. Number 4: V 14.13 A^3/atom. Number 5: V 14.36 A^3/atom. Number 6: V 14.84 A^3/atom. Number 7: V 14.73 A^3/atom. Number 8: V 13.92 A^3/atom. Number 9: V 14.30 A^3/atom. Number 10: V 16.03 A^3/atom. Number 11: V 13.56 A^3/atom. Number 12: V 14.99 A^3/atom. Number 13: V 21.99 A^3/atom. Number 14: V 12.84 A^3/atom. Number 15: V 14.55 A^3/atom. Number 16: V 13.85 A^3/atom. Number 17: V 13.88 A^3/atom. Number 18: V 13.16 A^3/atom. Number 19: V 13.27 A^3/atom. Number 20: V 13.98 A^3/atom. Number 21: V 20.60 A^3/atom. Number 22: V 18.68 A^3/atom. Number 23: V 14.26 A^3/atom. Number 24: V 17.89 A^3/atom.